Computed, not measured: crystalline K2HgRh at its relaxed geometry at the GGA-PBE level of DFT.

Output
* energy of formation: 8.9 kcal/mol of atoms
* spin magnetization: 0.000 μB/cell
* theoretical density: 5.725 Mg/m³

Cell lengths 5.7056, 5.7056, 3.8409 Å; angles 90.00, 90.00, 117.69 degrees
With the nearest neighbours (Å) after each atom.
Positions (direct):
K: 0.0000 0.5000 0.0000  2 K 2.95
K: 0.5000 0.0000 0.0000  2 K 2.95
Hg: 0.0000 0.0000 0.5000  2 Rh 2.95
Rh: 0.5000 0.5000 0.5000  2 Hg 2.95

***

Computed, not measured: crystalline CsPdBr3 at its relaxed geometry at the GGA-PBE level of DFT.

Output
* E_form (uncorrected): -525 meV/atom
* spin magnetization: 0.235 μB/cell
* theoretical density: 3.398 Mg/m³

Cell lengths 4.9935, 4.9935, 9.3888 Å; angles 90.00, 90.00, 90.00 degrees
With the nearest neighbours (Å) after each atom.
Positions (direct):
Cs: 0.0000 0.0000 0.0000  5 Br 3.35-3.60
Pd: 0.5000 0.5000 0.3348  4 Br 2.56
Br: 0.0000 0.0000 0.6431  1 Cs 3.35
Br: 0.0000 0.5000 0.2766  2 Pd 2.56
Br: 0.5000 0.0000 0.2766  2 Pd 2.56

***

Computed, not measured: crystalline HfSc2Pa at its relaxed geometry at the GGA-PBE level of DFT.

Output
* offset from the most stable computed form: 55 meV per atom
* energy of formation: 2.6 kcal/mol of atoms
* spin magnetization: 0.091 μB/cell
* theoretical density: 8.755 Mg/m³

Cell lengths 3.1508, 3.1508, 9.5410 Å; angles 90.00, 90.00, 90.00 degrees
With the nearest neighbours (Å) after each atom.
Positions (direct):
Hf: 0.0000 0.0000 0.0000  4 Hf 3.15, 8 Sc 3.20
Sc: 0.5000 0.5000 0.2415  4 Sc 3.15, 4 Hf 3.20, 4 Pa 3.32
Sc: 0.5000 0.5000 0.7585  4 Sc 3.15, 4 Hf 3.20, 4 Pa 3.32
Pa: 0.0000 0.0000 0.5000  4 Pa 3.15, 8 Sc 3.32

***

Computed, not measured: crystalline SbTe at its relaxed geometry at the GGA-PBE level of DFT.

Output
* E_form (uncorrected): 317 meV/atom
* offset from the most stable computed form: 422 meV per atom
* spin magnetization: 0.000 μB/cell
* theoretical density: 4.167 Mg/m³

Cell lengths 4.5590, 4.5590, 11.0409 Å; angles 90.00, 90.00, 120.00 degrees
With the nearest neighbours (Å) after each atom.
Positions (direct):
Sb: 0.3333 0.6667 0.0000  3 Te 2.94
Sb: 0.6667 0.3333 0.5000  3 Te 2.94
Te: 0.3333 0.6667 0.3804  3 Sb 2.94
Te: 0.6667 0.3333 0.8804  3 Sb 2.94

***

no.,total DFT energy (no corrections) (eV/atom)
1,-2.07
2,-2.74
3,-7.92
4,-3.31